(1)
## Pr6HAu2 (PBE)

Data for a relaxed structure of Pr6HAu2.

The structure belongs to space group P2_1/c (No. 14); the cell edges are 6.7891, 7.2791 and 12.2402 Å and the angles 90.00°, 121.46° and 90.00°. The inequivalent atoms are Pr at (0.1106, 0.0177, 0.2526), Pr at (0.2162, 0.6878, 0.0540), Pr at (0.3808, 0.1967, 0.0541), H at (0.5000, 0.0000, 0.5000) and Au at (0.3354, 0.1086, 0.7599).


(2)
## Pr3HAu (PBE)

Data for a relaxed structure of Pr3HAu.

The structure belongs to space group P2_1/m (No. 11); the cell edges are 7.3835, 3.9140 and 9.0128 Å and the angles 90.00°, 98.84° and 90.00°. The inequivalent atoms are Pr at (0.0792, 0.2500, 0.3478), Pr at (0.2411, 0.2500, 0.9447), Pr at (0.3871, 0.7500, 0.6287), H at (0.1600, 0.2500, 0.6499) and Au at (0.3272, 0.7500, 0.2053).


(3)
## Pr2HAu (PBE)

Data for a relaxed structure of Pr2HAu.

The structure belongs to space group R-3m (No. 166, hexagonal axes); the cell edges are 3.6027, 3.6027 and 26.4325 Å and the angles 90.00°, 90.00° and 120.00°. The inequivalent atoms are Pr at (0.0000, 0.0000, 0.1107), H at (0.0000, 0.0000, 0.5000) and Au at (0.0000, 0.0000, 0.0000).


no.,DFT total energy (eV per atom),calculated density (g cm⁻³)
1,-4.694,8.0
2,-4.624,8.0
3,-4.059,8.0